This record from Alexandria via LeMat-Bulk describes a relaxed Sr2CdSbAu6 crystal. The functional is PBE.

The density of states at the Fermi level is 3.35 states/eV/cell. The value obtained for the uncorrected formation energy is -0.212 eV/atom. The calculation puts the volume at 288.51 Å³/cell.

Unit cell a=7.417 b=7.417 c=7.417 alpha=60.00 beta=60.00 gamma=90.00
Atoms (fractional coordinates):
Sr  0.250  0.750  0.500
Sr  0.750  0.250  0.500
Cd  0.500  0.500  0.000
Sb  0.000  0.000  0.000
Au  0.251  0.749  0.000
Au  0.749  0.749  0.000
Au  0.251  0.251  0.499
Au  0.749  0.251  0.000
Au  0.251  0.251  0.000
Au  0.749  0.749  0.501



This record from Alexandria via LeMat-Bulk describes a relaxed La2VAsSe crystal. The functional is PBE.

The density of states at the Fermi level is 3.73 states/eV/cell. The value obtained for the uncorrected formation energy is -0.620 eV/atom. The calculation puts the volume at 133.38 Å³/cell.

Unit cell a=5.425 b=4.533 c=5.425 alpha=90.00 beta=90.00 gamma=90.00
Atoms (fractional coordinates):
As  0.000  0.500  0.000
V  0.000  0.000  0.000
Se  0.500  0.500  0.500
La  0.000  0.000  0.500
La  0.500  0.000  0.000



This record from Alexandria via LeMat-Bulk describes a relaxed CaPPb2 crystal. The functional is PBE.

As for the formation energy: -0.22 eV/atom. The density of states at the Fermi level is 1.45 states/eV/cell. The calculation puts the volume at 111.23 Å³/cell.

Unit cell a=6.491 b=6.491 c=4.425 alpha=70.41 beta=70.41 gamma=123.00
Atoms (fractional coordinates):
Ca  0.500  0.000  0.500
P  0.000  0.500  0.500
Pb  0.000  0.000  0.000
Pb  0.500  0.500  0.000



This record from Alexandria via LeMat-Bulk describes a relaxed Be2AsPt crystal. The functional is PBE.

As for the formation energy: 0.14 eV/atom. The density of states at the Fermi level is 4.01 states/eV/cell. The calculation puts the volume at 132.54 Å³/cell.

Unit cell a=5.468 b=5.468 c=5.883 alpha=62.31 beta=62.31 gamma=90.00
Atoms (fractional coordinates):
Be  0.635  0.125  0.250
Be  0.115  0.625  0.250
Be  0.375  0.365  0.750
Be  0.875  0.885  0.750
As  0.500  0.500  0.000
As  0.250  0.750  0.500
Pt  0.000  0.000  0.000
Pt  0.750  0.250  0.500



This record from Alexandria via LeMat-Bulk describes a relaxed CeSm3F crystal. The functional is PBE.

The density of states at the Fermi level is 9.40 states/eV/cell. The value obtained for the uncorrected formation energy is -0.892 eV/atom. The calculation puts the volume at 134.57 Å³/cell.

Unit cell a=5.124 b=5.124 c=5.124 alpha=90.00 beta=90.00 gamma=90.00
Last column: magnetic moment on the atom in μB.
Atoms (fractional coordinates):
Ce  0.500  0.500  0.500  0.80
Sm  0.000  0.500  0.000  0.03
Sm  0.000  0.000  0.500  0.03
Sm  0.500  0.000  0.000  0.03
F  0.000  0.000  0.000  0.00



This record from Alexandria via LeMat-Bulk describes a relaxed KSbO crystal. The functional is PBE.

The density of states at the Fermi level is 3.25 states/eV/cell. The value obtained for the uncorrected formation energy is -1.057 eV/atom. Its offset from the most stable computed form is 0 meV per atom. The calculation puts the volume at 305.78 Å³/cell.

Unit cell a=3.537 b=7.471 c=11.572 alpha=90.00 beta=90.00 gamma=90.00
Atoms (fractional coordinates):
Sb  0.000  0.698  0.831
Sb  0.000  0.302  0.831
Sb  0.000  0.198  0.331
Sb  0.000  0.802  0.331
K  0.500  0.000  0.070
K  0.500  0.500  0.570
K  0.500  0.000  0.615
K  0.500  0.500  0.115
O  0.000  0.738  0.664
O  0.000  0.262  0.664
O  0.000  0.238  0.164
O  0.000  0.762  0.164



This record from Alexandria via LeMat-Bulk describes a relaxed MgAlPdRh crystal. The functional is PBE.

As for the formation energy: -0.84 eV/atom. The density of states at the Fermi level is 1.48 states/eV/cell. The calculation puts the volume at 58.29 Å³/cell.

Unit cell a=4.352 b=4.352 c=4.352 alpha=60.00 beta=60.00 gamma=60.00
Atoms (fractional coordinates):
Mg  0.250  0.250  0.250
Rh  0.500  0.500  0.500
Al  0.750  0.750  0.750
Pd  0.000  0.000  0.000



This record from Alexandria via LeMat-Bulk describes a relaxed NpTl2I4F2 crystal. The functional is PBE.

The density of states at the Fermi level is 6.70 states/eV/cell. The value obtained for the uncorrected formation energy is -1.435 eV/atom. The calculation puts the volume at 339.57 Å³/cell.

Unit cell a=6.222 b=7.682 c=7.682 alpha=67.72 beta=91.60 gamma=91.60
Last column: magnetic moment on the atom in μB.
Atoms (fractional coordinates):
Np  0.500  0.000  0.000  3.20
Tl  0.276  0.652  0.652  0.00
Tl  0.724  0.348  0.348  0.00
I  0.260  0.617  0.133  -0.03
I  0.740  0.867  0.383  -0.03
I  0.740  0.383  0.867  -0.03
I  0.260  0.133  0.617  -0.03
F  0.274  0.111  0.111  -0.06
F  0.726  0.889  0.889  -0.06



This record from Alexandria via LeMat-Bulk describes a relaxed Li2GaP crystal. The functional is PBE.

As for the formation energy: -0.16 eV/atom. The density of states at the Fermi level is 5.73 states/eV/cell. The calculation puts the volume at 129.71 Å³/cell.

Unit cell a=3.831 b=3.831 c=9.246 alpha=78.04 beta=78.04 gamma=90.00
Atoms (fractional coordinates):
P  0.500  0.500  0.000
P  0.250  0.750  0.500
Ga  0.000  0.000  0.000
Ga  0.750  0.250  0.500
Li  0.597  0.125  0.250
Li  0.153  0.625  0.250
Li  0.375  0.403  0.750
Li  0.875  0.847  0.750



This record from Alexandria via LeMat-Bulk describes a relaxed NaTl2ReS4 crystal. The functional is PBE.

The density of states at the Fermi level is 1.89 states/eV/cell. The value obtained for the uncorrected formation energy is -0.403 eV/atom. The calculation puts the volume at 235.17 Å³/cell.

Unit cell a=6.738 b=6.738 c=6.738 alpha=107.10 beta=110.67 gamma=110.67
Last column: magnetic moment on the atom in μB.
Atoms (fractional coordinates):
Na  0.500  0.250  0.750  0.01
Tl  0.500  0.750  0.250  0.05
Tl  0.000  0.000  0.000  0.03
Re  0.000  0.500  0.500  1.08
S  0.666  0.476  0.508  0.05
S  0.031  0.189  0.524  0.05
S  0.969  0.492  0.158  0.05
S  0.334  0.842  0.811  0.05



This record from Alexandria via LeMat-Bulk describes a relaxed CrTe6Mo2 crystal. The functional is PBE.

The density of states at the Fermi level is 3.64 states/eV/cell. The value obtained for the uncorrected formation energy is -0.210 eV/atom. The calculation puts the volume at 237.05 Å³/cell.

Unit cell a=3.569 b=7.645 c=9.364 alpha=106.90 beta=90.00 gamma=103.50
Last column: magnetic moment on the atom in μB.
Atoms (fractional coordinates):
Cr  0.000  0.000  0.500  2.82
Te  0.328  0.655  0.846  -0.01
Te  0.672  0.345  0.154  -0.01
Te  0.956  0.911  0.198  -0.05
Te  0.643  0.286  0.558  -0.10
Te  0.044  0.089  0.802  -0.05
Te  0.357  0.714  0.442  -0.10
Mo  0.698  0.396  0.879  0.05
Mo  0.302  0.604  0.121  0.05



This record from Alexandria via LeMat-Bulk describes a relaxed Tb3TmSc5 crystal. The functional is PBE.

As for the formation energy: 0.29 eV/atom. The density of states at the Fermi level is 20.66 states/eV/cell. The calculation puts the volume at 494.66 Å³/cell.

Unit cell a=8.343 b=8.343 c=9.237 alpha=116.85 beta=116.85 gamma=90.00
Atoms (fractional coordinates):
Tb  0.619  0.119  0.000
Tb  0.381  0.881  0.000
Tb  0.881  0.619  0.000
Tb  0.119  0.381  0.000
Tb  0.250  0.250  0.500
Tb  0.750  0.750  0.500
Tm  0.750  0.250  0.500
Tm  0.250  0.750  0.500
Sc  0.072  0.572  0.729
Sc  0.657  0.157  0.729
Sc  0.157  0.072  0.729
Sc  0.572  0.657  0.729
Sc  0.928  0.428  0.271
Sc  0.343  0.843  0.271
Sc  0.843  0.928  0.271
Sc  0.428  0.343  0.271
Sc  0.500  0.500  0.000
Sc  0.000  0.000  0.000



This record from Alexandria via LeMat-Bulk describes a relaxed Hg2AuI2 crystal. The functional is PBE.

The density of states at the Fermi level is 2.61 states/eV/cell. The value obtained for the uncorrected formation energy is -0.032 eV/atom. Its offset from the most stable computed form is 54 meV per atom. The calculation puts the volume at 344.10 Å³/cell.

Unit cell a=4.407 b=7.047 c=11.301 alpha=91.73 beta=101.24 gamma=90.00
Atoms (fractional coordinates):
Hg  0.197  0.985  0.394
Hg  0.803  0.015  0.606
Hg  0.346  0.418  0.692
Hg  0.654  0.582  0.308
Au  0.240  0.626  0.480
Au  0.760  0.374  0.520
I  0.111  0.275  0.221
I  0.889  0.725  0.779
I  0.445  0.200  0.889
I  0.555  0.800  0.111



This record from Alexandria via LeMat-Bulk describes a relaxed SmPdAu2 crystal. The functional is PBE.

As for the formation energy: -0.60 eV/atom. The density of states at the Fermi level is 2.70 states/eV/cell. Its offset from the most stable computed form is 109 meV per atom. The calculation puts the volume at 80.96 Å³/cell.

Unit cell a=4.205 b=4.388 c=4.388 alpha=90.00 beta=90.00 gamma=90.00
Atoms (fractional coordinates):
Au  0.000  0.000  0.500
Au  0.000  0.500  0.000
Pd  0.500  0.000  0.000
Sm  0.500  0.500  0.500



This record from Alexandria via LeMat-Bulk describes a relaxed SrAc5Ag4 crystal. The functional is PBE.

As for the formation energy: -0.18 eV/atom. The density of states at the Fermi level is 9.07 states/eV/cell. The calculation puts the volume at 346.77 Å³/cell.

Unit cell a=3.963 b=3.963 c=22.083 alpha=90.00 beta=90.00 gamma=90.00
Atoms (fractional coordinates):
Sr  0.000  0.000  0.000
Ac  0.500  0.500  0.143
Ac  0.500  0.500  0.320
Ac  0.500  0.500  0.500
Ac  0.500  0.500  0.680
Ac  0.500  0.500  0.857
Ag  0.000  0.000  0.229
Ag  0.000  0.000  0.410
Ag  0.000  0.000  0.590
Ag  0.000  0.000  0.771



This record from Alexandria via LeMat-Bulk describes a relaxed Tb2Pr3NdDy6 crystal. The functional is PBE.

As for the formation energy: 0.02 eV/atom. The density of states at the Fermi level is 14.79 states/eV/cell. The calculation puts the volume at 394.81 Å³/cell.

Unit cell a=6.245 b=6.245 c=11.873 alpha=95.02 beta=95.02 gamma=120.00
Atoms (fractional coordinates):
Tb  0.333  0.667  0.000
Tb  0.667  0.333  0.000
Pr  0.167  0.833  0.500
Pr  0.833  0.167  0.500
Pr  0.500  0.500  0.500
Nd  0.000  0.000  0.000
Dy  0.917  0.584  0.753
Dy  0.749  0.749  0.247
Dy  0.083  0.416  0.247
Dy  0.584  0.917  0.753
Dy  0.251  0.251  0.753
Dy  0.416  0.083  0.247



This record from Alexandria via LeMat-Bulk describes a relaxed NaNd2ThTe4 crystal. The functional is PBE.

The density of states at the Fermi level is 5.26 states/eV/cell. The value obtained for the uncorrected formation energy is -1.270 eV/atom. The calculation puts the volume at 256.76 Å³/cell.

Unit cell a=4.460 b=7.852 c=7.748 alpha=108.88 beta=90.00 gamma=90.00
Atoms (fractional coordinates):
Na  0.000  0.000  0.000
Nd  0.500  0.000  0.500
Nd  0.000  0.500  0.500
Th  0.500  0.500  0.000
Te  0.500  0.248  0.246
Te  0.500  0.752  0.754
Te  0.000  0.247  0.754
Te  0.000  0.753  0.246



This record from Alexandria via LeMat-Bulk describes a relaxed LuAlGaAg crystal. The functional is PBE.

As for the formation energy: -0.31 eV/atom. The density of states at the Fermi level is 1.20 states/eV/cell. The calculation puts the volume at 76.92 Å³/cell.

Unit cell a=4.774 b=4.774 c=4.774 alpha=60.00 beta=60.00 gamma=60.00
Atoms (fractional coordinates):
Lu  0.000  0.000  0.000
Ga  0.750  0.750  0.750
Ag  0.250  0.250  0.250
Al  0.500  0.500  0.500



This record from Alexandria via LeMat-Bulk describes a relaxed CuPb4Au5 crystal. The functional is PBE.

As for the formation energy: -0.04 eV/atom. The density of states at the Fermi level is 3.74 states/eV/cell. The calculation puts the volume at 234.86 Å³/cell.

Unit cell a=6.080 b=6.919 c=6.919 alpha=78.87 beta=63.93 gamma=63.93
Atoms (fractional coordinates):
Cu  0.784  0.000  0.000
Pb  0.858  0.631  0.758
Pb  0.616  0.242  0.631
Pb  0.489  0.758  0.369
Pb  0.247  0.369  0.242
Au  0.273  0.680  0.849
Au  0.122  0.151  0.680
Au  0.953  0.849  0.320
Au  0.802  0.320  0.151
Au  0.345  0.000  0.000



This record from Alexandria via LeMat-Bulk describes a relaxed Hf2TeOs crystal. The functional is PBE.

The density of states at the Fermi level is 35.10 states/eV/cell. The value obtained for the uncorrected formation energy is 0.361 eV/atom. The calculation puts the volume at 242.41 Å³/cell.

Unit cell a=6.209 b=6.209 c=7.669 alpha=66.12 beta=66.12 gamma=90.00
Atoms (fractional coordinates):
Hf  0.682  0.125  0.250
Hf  0.068  0.625  0.250
Hf  0.375  0.318  0.750
Hf  0.875  0.932  0.750
Te  0.500  0.500  0.000
Te  0.250  0.750  0.500
Os  0.000  0.000  0.000
Os  0.750  0.250  0.500



This record from Alexandria via LeMat-Bulk describes a relaxed Tb3DyS4 crystal. The functional is PBE.

The density of states at the Fermi level is 4.88 states/eV/cell. The value obtained for the uncorrected formation energy is -2.004 eV/atom. Its offset from the most stable computed form is 0 meV per atom. The calculation puts the volume at 170.53 Å³/cell.

Unit cell a=3.890 b=6.811 c=6.811 alpha=109.11 beta=90.00 gamma=90.00
Atoms (fractional coordinates):
S  0.000  0.249  0.249
S  0.500  0.751  0.249
S  0.000  0.751  0.751
S  0.500  0.249  0.751
Tb  0.000  0.000  0.500
Tb  0.500  0.500  0.500
Tb  0.000  0.500  0.000
Dy  0.500  0.000  0.000



This record from Alexandria via LeMat-Bulk describes a relaxed Tb5Cd4Pd crystal. The functional is PBE.

As for the formation energy: -0.43 eV/atom. The density of states at the Fermi level is 9.46 states/eV/cell. The calculation puts the volume at 254.95 Å³/cell.

Unit cell a=3.696 b=3.696 c=18.662 alpha=90.00 beta=90.00 gamma=90.00
Last column: magnetic moment on the atom in μB.
Atoms (fractional coordinates):
Tb  0.500  0.500  0.089  0.00
Tb  0.500  0.500  0.294  0.03
Tb  0.500  0.500  0.500  0.06
Tb  0.500  0.500  0.706  0.03
Tb  0.500  0.500  0.911  0.00
Cd  0.000  0.000  0.194  0.00
Cd  0.000  0.000  0.397  0.00
Cd  0.000  0.000  0.603  0.00
Cd  0.000  0.000  0.806  0.00
Pd  0.000  0.000  0.000  0.00